Below is BaLa2Rh after structural relaxation, with properties calculated at the PBE level.

Calculated values
For the energy relative to the elements, the calculation gives 0.143 eV per atom. The value obtained for the raw total energy is -4.64 eV/atom. For the energy above the most stable polymorph in this dataset, the calculation gives 215.6 kJ/mol of formula units.

a b c (Å): 5.1776 5.1776 4.5014
angles (deg): 90.00 90.00 90.00
Last column: nearest neighbours and their distance in Å.
Positions (direct):
1 Ba 0.0000 0.0000 0.5000  8 La 3.43, 4 Rh 3.66
2 La 0.0000 0.5000 0.0000  4 Ba 3.43, 4 Rh 3.43, 4 La 3.66
3 La 0.5000 0.0000 0.0000  4 Ba 3.43, 4 Rh 3.43, 4 La 3.66
4 Rh 0.5000 0.5000 0.5000  8 La 3.43, 4 Ba 3.66